# 1
The following is a PBE calculation of a geometry-optimized KFeCoTe3 structure, from the Open Quantum Materials Database.

Cell and atoms, written as POSCAR:
```
KFeCoTe3
1.0
8.847 0.000 0.000
0.000 3.790 0.000
-3.985 0.000 8.951
K Co Te Fe
2 2 6 2
direct
0.014 0.750 0.274
0.986 0.250 0.726
0.484 0.250 0.397
0.516 0.750 0.603
0.320 0.250 0.555
0.648 0.250 0.122
0.737 0.750 0.855
0.352 0.750 0.878
0.263 0.250 0.145
0.680 0.750 0.445
0.474 0.750 0.174
0.526 0.250 0.826
```

- polymorph energy (0 for the lowest one) (meV/atom) = 0
- energy (eV per formula unit) = -27.57

# 2
The following is a PBE calculation of a geometry-optimized Ba2ScPtS6 structure, from the Open Quantum Materials Database.

Cell and atoms, written as POSCAR:
```
Ba2ScPtS6
1.0
-3.387 -0.009 -6.041
-6.897 -0.629 -0.101
-3.944 5.414 -1.766
S Ba Pt Sc
6 2 1 1
direct
0.239 0.258 0.246
0.244 0.255 0.760
0.761 0.742 0.754
0.755 0.259 0.242
0.245 0.741 0.758
0.756 0.745 0.240
0.750 0.250 0.750
0.250 0.750 0.250
0.000 0.500 0.000
0.500 0.000 0.500
```

- energy (eV per formula unit) = -53.30

Q: Which value of energy does entry 2 give?
A: -53.30 eV per formula unit

Repeat the second record exactly.
The following is a PBE calculation of a geometry-optimized Ba2ScPtS6 structure, from the Open Quantum Materials Database.

Cell and atoms, written as POSCAR:
```
Ba2ScPtS6
1.0
-3.387 -0.009 -6.041
-6.897 -0.629 -0.101
-3.944 5.414 -1.766
S Ba Pt Sc
6 2 1 1
direct
0.239 0.258 0.246
0.244 0.255 0.760
0.761 0.742 0.754
0.755 0.259 0.242
0.245 0.741 0.758
0.756 0.745 0.240
0.750 0.250 0.750
0.250 0.750 0.250
0.000 0.500 0.000
0.500 0.000 0.500
```

- energy (eV per formula unit) = -53.30

Q: What is the energy in the second record?
A: -53.30 eV per formula unit